(1)
# ZnTcPt SCAN single point on PBEsol structure
# * total energy: -39.682 eV per atom
# * formation energy: -0.093 eV/atom
# * Fermi-level density of states: 3.5 states/eV/cell
# * magnetic moment: 0.00 μB/f.u.
data_ZnTcPt
_cell_length_a 2.6777
_cell_length_b 3.8798
_cell_length_c 8.0832
_cell_angle_alpha 90.00
_cell_angle_beta 90.00
_cell_angle_gamma 90.00
_symmetry_space_group_name_H-M 'I m m 2'
_symmetry_Int_Tables_number 44
_symmetry_space_group_name_Hall 'I 2 -2'
loop_
_atom_site_label
_atom_site_fract_x
_atom_site_fract_y
_atom_site_fract_z
Zn1 0.0000 0.0000 0.0000
Tc1 0.0000 0.0000 0.3340
Pt1 0.0000 0.0000 0.6664


(2)
# ZnTc2Pt SCAN single point on PBEsol structure
# * total energy: -38.511 eV per atom
# * formation energy: -0.054 eV/atom
# * Fermi-level density of states: 2.2 states/eV/cell
# * magnetic moment: 0.00 μB/f.u.
data_ZnTc2Pt
_cell_length_a 3.6137
_cell_length_b 3.6137
_cell_length_c 4.2980
_cell_angle_alpha 90.00
_cell_angle_beta 90.00
_cell_angle_gamma 90.00
_symmetry_space_group_name_H-M 'P 4/m m m'
_symmetry_Int_Tables_number 123
_symmetry_space_group_name_Hall '-P 4 2'
loop_
_atom_site_label
_atom_site_fract_x
_atom_site_fract_y
_atom_site_fract_z
Zn1 0.0000 0.0000 0.0000
Tc1 0.0000 0.5000 0.5000
Pt1 0.5000 0.5000 0.0000


- Among the records above, which one has the lowest formation energy?
  ZnTcPt